1.
# RbHgH4 | Alexandria via LeMat-Bulk | GGA-PBE | optimized geometry
# - Electronic total energy: -2.364 eV per atom
# - M_tot: 0.0 μB/f.u.
data_RbHgH4
_cell_length_a 5.448
_cell_length_b 8.371
_cell_length_c 12.292
_cell_angle_alpha 47.57
_cell_angle_beta 123.85
_cell_angle_gamma 145.66
_space_group_name_H-M_alt 'P 1'
_space_group_IT_number 1
loop_
_space_group_symop_operation_xyz
'x,y,z'
loop_
_atom_site_label
_atom_site_type_symbol
_atom_site_fract_x
_atom_site_fract_y
_atom_site_fract_z
Rb1 Rb 0.535 0.376 0.258
Rb2 Rb 0.465 0.624 0.742
Hg1 Hg 0.500 0.500 0.500
Hg2 Hg 0.500 0.000 0.000
H1 H 0.293 0.805 0.826
H2 H 0.932 0.660 0.458
H3 H 0.068 0.340 0.542
H4 H 0.606 0.030 0.242
H5 H 0.394 0.970 0.758
H6 H 0.050 0.904 0.953
H7 H 0.950 0.096 0.047
H8 H 0.707 0.195 0.174

---

2.
# RbHg2H8 | Alexandria via LeMat-Bulk | GGA-PBE | optimized geometry
# - Electronic total energy: -2.465 eV per atom
# - M_tot: 0.0 μB/f.u.
data_RbHg2H8
_cell_length_a 15.182
_cell_length_b 5.366
_cell_length_c 5.881
_cell_angle_alpha 117.14
_cell_angle_beta 143.66
_cell_angle_gamma 90.00
_space_group_name_H-M_alt 'P 1'
_space_group_IT_number 1
loop_
_space_group_symop_operation_xyz
'x,y,z'
loop_
_atom_site_label
_atom_site_type_symbol
_atom_site_fract_x
_atom_site_fract_y
_atom_site_fract_z
Rb1 Rb 0.000 0.000 0.000
Hg1 Hg 0.455 0.307 0.615
Hg2 Hg 0.545 0.693 0.385
H1 H 0.058 0.057 0.644
H2 H 0.058 0.588 0.644
H3 H 0.942 0.943 0.356
H4 H 0.384 0.628 0.257
H5 H 0.942 0.412 0.356
H6 H 0.526 0.067 0.134
H7 H 0.474 0.933 0.866
H8 H 0.616 0.372 0.743

---

3.
# Rb2HgH8 | Alexandria via LeMat-Bulk | GGA-PBE | optimized geometry
# - Electronic total energy: -2.625 eV per atom
# - M_tot: 0.0 μB/f.u.
data_Rb2HgH8
_cell_length_a 5.102
_cell_length_b 5.610
_cell_length_c 8.859
_cell_angle_alpha 90.07
_cell_angle_beta 107.89
_cell_angle_gamma 123.21
_space_group_name_H-M_alt 'P 1'
_space_group_IT_number 1
loop_
_space_group_symop_operation_xyz
'x,y,z'
loop_
_atom_site_label
_atom_site_type_symbol
_atom_site_fract_x
_atom_site_fract_y
_atom_site_fract_z
Rb1 Rb 0.013 0.756 0.319
Rb2 Rb 0.987 0.244 0.681
Hg1 Hg 0.500 0.000 0.000
H1 H 0.145 0.321 0.258
H2 H 0.731 0.619 0.786
H3 H 0.503 0.301 0.000
H4 H 0.722 0.111 0.331
H5 H 0.278 0.889 0.669
H6 H 0.497 0.699 0.000
H7 H 0.269 0.381 0.214
H8 H 0.855 0.679 0.742

---

4.
# Rb2Hg2H | Alexandria via LeMat-Bulk | GGA-PBE | optimized geometry
# - M_tot: 0.0 μB/f.u.
# - Energy above the most stable polymorph in this dataset: 0.088 eV per atom
data_Rb2Hg2H
_cell_length_a 7.077
_cell_length_b 7.077
_cell_length_c 6.744
_cell_angle_alpha 58.35
_cell_angle_beta 58.35
_cell_angle_gamma 90.00
_space_group_name_H-M_alt 'P 1'
_space_group_IT_number 1
loop_
_space_group_symop_operation_xyz
'x,y,z'
loop_
_atom_site_label
_atom_site_type_symbol
_atom_site_fract_x
_atom_site_fract_y
_atom_site_fract_z
H1 H 0.000 0.000 0.000
Hg1 Hg 0.234 0.234 0.533
Hg2 Hg 0.766 0.766 0.467
Rb1 Rb 0.750 0.250 0.500
Rb2 Rb 0.250 0.750 0.500

---

5.
# Rb2Hg2H | Alexandria via LeMat-Bulk | GGA-PBE | optimized geometry
# - M_tot: 0.0 μB/f.u.
# - Energy above the most stable polymorph in this dataset: 0.000 eV per atom
data_Rb2Hg2H
_cell_length_a 8.032
_cell_length_b 8.032
_cell_length_c 6.227
_cell_angle_alpha 90.00
_cell_angle_beta 90.00
_cell_angle_gamma 90.00
_space_group_name_H-M_alt 'P 1'
_space_group_IT_number 1
loop_
_space_group_symop_operation_xyz
'x,y,z'
loop_
_atom_site_label
_atom_site_type_symbol
_atom_site_fract_x
_atom_site_fract_y
_atom_site_fract_z
H1 H 0.000 0.000 0.000
H2 H 0.500 0.500 0.000
Hg1 Hg 0.136 0.636 0.500
Hg2 Hg 0.636 0.864 0.500
Hg3 Hg 0.864 0.364 0.500
Hg4 Hg 0.364 0.136 0.500
Rb1 Rb 0.306 0.806 0.000
Rb2 Rb 0.806 0.694 0.000
Rb3 Rb 0.694 0.194 0.000
Rb4 Rb 0.194 0.306 0.000

---

6.
# RbHgH | Alexandria via LeMat-Bulk | GGA-PBE | optimized geometry
# - M_tot: 0.0 μB/f.u.
# - Energy above the most stable polymorph in this dataset: 0.128 eV per atom
data_RbHgH
_cell_length_a 5.061
_cell_length_b 5.061
_cell_length_c 5.061
_cell_angle_alpha 60.00
_cell_angle_beta 60.00
_cell_angle_gamma 60.00
_space_group_name_H-M_alt 'P 1'
_space_group_IT_number 1
loop_
_space_group_symop_operation_xyz
'x,y,z'
loop_
_atom_site_label
_atom_site_type_symbol
_atom_site_fract_x
_atom_site_fract_y
_atom_site_fract_z
H1 H 0.250 0.250 0.250
Hg1 Hg 0.500 0.500 0.500
Rb1 Rb 0.000 0.000 0.000

---

7.
# Rb2HgH | Alexandria via LeMat-Bulk | GGA-PBE | optimized geometry
# - M_tot: 0.0 μB/f.u.
# - Energy above the most stable polymorph in this dataset: 0.037 eV per atom
data_Rb2HgH
_cell_length_a 8.658
_cell_length_b 8.658
_cell_length_c 7.445
_cell_angle_alpha 54.45
_cell_angle_beta 54.45
_cell_angle_gamma 90.00
_space_group_name_H-M_alt 'P 1'
_space_group_IT_number 1
loop_
_space_group_symop_operation_xyz
'x,y,z'
loop_
_atom_site_label
_atom_site_type_symbol
_atom_site_fract_x
_atom_site_fract_y
_atom_site_fract_z
H1 H 0.500 0.500 0.000
H2 H 0.250 0.750 0.500
Hg1 Hg 0.000 0.000 0.000
Hg2 Hg 0.750 0.250 0.500
Rb1 Rb 0.533 0.125 0.250
Rb2 Rb 0.217 0.625 0.250
Rb3 Rb 0.375 0.467 0.750
Rb4 Rb 0.875 0.783 0.750

---

8.
# RbHgH2 | Alexandria via LeMat-Bulk | GGA-PBE | optimized geometry
# - M_tot: 0.0 μB/f.u.
# - Energy above the most stable polymorph in this dataset: 0.139 eV per atom
data_RbHgH2
_cell_length_a 5.364
_cell_length_b 5.364
_cell_length_c 6.933
_cell_angle_alpha 67.24
_cell_angle_beta 67.24
_cell_angle_gamma 90.00
_space_group_name_H-M_alt 'P 1'
_space_group_IT_number 1
loop_
_space_group_symop_operation_xyz
'x,y,z'
loop_
_atom_site_label
_atom_site_type_symbol
_atom_site_fract_x
_atom_site_fract_y
_atom_site_fract_z
H1 H 0.811 0.125 0.250
H2 H 0.939 0.625 0.250
H3 H 0.375 0.189 0.750
H4 H 0.875 0.061 0.750
Hg1 Hg 0.000 0.000 0.000
Hg2 Hg 0.750 0.250 0.500
Rb1 Rb 0.500 0.500 0.000
Rb2 Rb 0.250 0.750 0.500